(1)
This record from Alexandria describes crystalline PmAsPt4 at its relaxed geometry. The functional is PBE. Values from VASP.

Geometry as Quantum ESPRESSO input:
```
&SYSTEM
  ibrav = 0, nat = 6, ntyp = 3
/
ATOMIC_SPECIES
Pm 145.00 Pm.upf
As 74.92 As.upf
Pt 195.08 Pt.upf
ATOMIC_POSITIONS angstrom
Pm 0.0000 0.0000 0.0000
As 5.7381 5.7381 5.7381
Pt 2.8701 2.8701 2.8701
Pt 4.7807 4.7807 2.8701
Pt 4.7807 2.8701 4.7807
Pt 2.8701 4.7807 4.7807
CELL_PARAMETERS angstrom
0.0000 3.8254 3.8254
3.8254 0.0000 3.8254
3.8254 3.8254 0.0000
```

ΔE_f: -0.561 eV/atom
volume: 112.0 Å³/cell
M_tot: 0.00 μB per atom
symmetry: F-43m (216)
energy: -36.93 eV for the cell shown

***

(2)
This record from Alexandria describes crystalline MnHg2Pd4 at its relaxed geometry. The functional is PBE. Values from VASP.

Geometry as Quantum ESPRESSO input:
```
&SYSTEM
  ibrav = 0, nat = 7, ntyp = 3
/
ATOMIC_SPECIES
Mn 54.94 Mn.upf
Hg 200.59 Hg.upf
Pd 106.42 Pd.upf
ATOMIC_POSITIONS angstrom
Mn 0.0000 0.0000 0.0000
Hg 2.6253 0.0000 1.2252
Hg 8.6285 0.0000 4.7344
Pd -0.8221 0.0000 4.2986
Pd 3.8638 0.0000 3.8156
Pd 7.3899 0.0000 2.1439
Pd 12.0758 0.0000 1.6609
CELL_PARAMETERS angstrom
7.0488 -1.4725 0.0000
7.0488 1.4725 0.0000
-2.8439 0.0000 5.9595
```

ΔE_f: -0.057 eV/atom
volume: 123.7 Å³/cell
M_tot: 0.65 μB per atom
symmetry: C2/m (12)
energy: -30.94 eV for the cell shown